1.
# BiSb2Pd2

BiSb2Pd2 after structural relaxation (PBE, Alexandria).

Formation energy without anion corrections = -0.1087 eV per atom
Total magnetic moment = 0.00 μB/f.u.

The structure in POSCAR format:
```
BiSb2Pd2
1.0
-2.3315 2.3315 5.5063
2.3315 -2.3315 5.5063
2.3315 2.3315 -5.5063
Bi Sb Pd
1 2 2
Direct
0.0000 0.0000 0.0000
0.3703 0.3703 0.0000
0.6297 0.6297 0.0000
0.2500 0.7500 0.5000
0.7500 0.2500 0.5000
```

---

2.
# Ce2SnGe4Rh3

Ce2SnGe4Rh3 after structural relaxation (PBE, Alexandria).

Total magnetic moment = 0.90 μB/f.u.

The structure in POSCAR format:
```
Ce2SnGe4Rh3
1.0
4.2666 0.0000 0.0000
0.0000 4.2666 0.0000
0.0000 0.0000 10.6434
Ce Sn Ge Rh
2 1 4 3
Direct
0.0000 0.5000 0.2330
0.5000 0.0000 0.7670
0.0000 0.0000 0.5000
0.0000 0.0000 0.0000
0.0000 0.5000 0.6559
0.5000 0.0000 0.3441
0.5000 0.5000 0.0000
0.0000 0.5000 0.8808
0.5000 0.0000 0.1192
0.5000 0.5000 0.5000
```

---

3.
# Tl2GeBr

Tl2GeBr after structural relaxation (PBE, Alexandria).

Formation energy without anion corrections = 0.0473 eV per atom
Total magnetic moment = 0.00 μB/f.u.

The structure in POSCAR format:
```
Tl2GeBr
1.0
0.0000 3.8304 3.8304
3.8304 0.0000 3.8304
3.8304 3.8304 0.0000
Tl Ge Br
2 1 1
Direct
0.2500 0.2500 0.2500
0.7500 0.7500 0.7500
0.0000 0.0000 0.0000
0.5000 0.5000 0.5000
```

---

4.
# RhC2

RhC2 after structural relaxation (PBE, Alexandria).

Total magnetic moment = 0.00 μB/f.u.

The structure in POSCAR format:
```
RhC2
1.0
0.0000 2.4786 2.4786
2.4786 0.0000 2.4786
2.4786 2.4786 0.0000
Rh C
1 2
Direct
0.0000 0.0000 0.0000
0.2500 0.2500 0.2500
0.7500 0.7500 0.7500
```

---

5.
# Ni2HIrPd

Ni2HIrPd after structural relaxation (PBE, Alexandria).

Total magnetic moment = 1.38 μB/f.u.

The structure in POSCAR format:
```
Ni2HIrPd
1.0
3.8445 0.0000 0.0000
0.0000 3.8445 0.0000
0.0000 0.0000 3.7004
Ni H Ir Pd
2 1 1 1
Direct
0.0000 0.5000 0.0000
0.5000 0.0000 0.0000
0.0000 0.0000 0.0000
0.0000 0.0000 0.5000
0.5000 0.5000 0.5000
```

---

6.
# PrHoTh2Bi5

PrHoTh2Bi5 after structural relaxation (PBE, Alexandria).

Total magnetic moment = 0.00 μB/f.u.

The structure in POSCAR format:
```
PrHoTh2Bi5
1.0
5.3986 0.0000 0.0000
0.0000 5.3986 0.0000
0.0000 0.0000 11.9271
Pr Ho Th Bi
1 1 2 5
Direct
0.0000 0.0000 0.0000
0.0000 0.0000 0.5000
0.5000 0.5000 0.2997
0.5000 0.5000 0.7003
0.0000 0.0000 0.2519
0.0000 0.0000 0.7481
0.0000 0.5000 0.5000
0.5000 0.0000 0.5000
0.5000 0.5000 0.0000
```

---

7.
# Tb2Ga3Pd

Tb2Ga3Pd after structural relaxation (PBE, Alexandria).

Total magnetic moment = 0.00 μB/f.u.

The structure in POSCAR format:
```
Tb2Ga3Pd
1.0
0.0000 4.4365 7.6952
3.6286 0.0000 7.6952
3.6286 4.4365 0.0000
Tb Ga Pd
4 6 2
Direct
0.2415 0.7585 0.7585
0.2500 0.2500 0.2500
0.7500 0.7500 0.7500
0.7585 0.2415 0.2415
0.1661 0.6671 0.3329
0.3329 0.8339 0.1661
0.3345 0.3345 0.6655
0.6655 0.6655 0.3345
0.6671 0.1661 0.8339
0.8339 0.3329 0.6671
0.1684 0.1684 0.8316
0.8316 0.8316 0.1684
```

---

8.
# In2FeCl

In2FeCl after structural relaxation (PBE, Alexandria).

Formation energy without anion corrections = 0.3529 eV per atom
Total magnetic moment = 2.34 μB/f.u.

The structure in POSCAR format:
```
In2FeCl
1.0
-3.2498 3.2498 6.0462
3.2498 -3.2498 6.0462
3.2498 3.2498 -6.0462
In Fe Cl
4 2 2
Direct
0.0813 0.6250 0.9563
0.3750 0.3313 0.4563
0.6687 0.1250 0.0437
0.8750 0.9187 0.5437
0.0000 0.0000 0.0000
0.7500 0.2500 0.5000
0.2500 0.7500 0.5000
0.5000 0.5000 0.0000
```

---

9.
# NaAc4Pt3O12

NaAc4Pt3O12 after structural relaxation (PBE, Alexandria).

Formation energy without anion corrections = -1.8987 eV per atom
Total magnetic moment = 5.09 μB/f.u.

The structure in POSCAR format:
```
NaAc4Pt3O12
1.0
-4.4226 4.4226 4.4226
4.4226 -4.4226 4.4226
4.4226 4.4226 -4.4226
Na Ac Pt O
1 4 3 12
Direct
0.0000 0.0000 0.0000
0.0000 0.0000 0.5000
0.0000 0.5000 0.0000
0.5000 0.0000 0.0000
0.5000 0.5000 0.5000
0.0000 0.5000 0.5000
0.5000 0.0000 0.5000
0.5000 0.5000 0.0000
0.1498 0.3342 0.4840
0.1498 0.6658 0.8156
0.1844 0.8502 0.3342
0.3342 0.1844 0.8502
0.3342 0.4840 0.1498
0.4840 0.1498 0.3342
0.5160 0.8502 0.6658
0.6658 0.5160 0.8502
0.6658 0.8156 0.1498
0.8156 0.1498 0.6658
0.8502 0.3342 0.1844
0.8502 0.6658 0.5160
```

---

10.
# Al2WCl

Al2WCl after structural relaxation (PBE, Alexandria).

Formation energy without anion corrections = 0.3303 eV per atom
Total magnetic moment = 0.00 μB/f.u.

The structure in POSCAR format:
```
Al2WCl
1.0
2.8294 0.0000 0.0000
0.0000 4.6497 0.0000
0.0000 0.0000 5.4208
Al W Cl
2 1 1
Direct
0.0000 0.0000 0.0000
0.5000 0.5000 0.3507
0.5000 0.5000 0.8652
0.0000 0.0000 0.4365
```

---

11.
# Pm2InSi4Pd3

Pm2InSi4Pd3 after structural relaxation (PBE, Alexandria).

Formation energy without anion corrections = -0.7591 eV per atom
Total magnetic moment = 0.00 μB/f.u.

The structure in POSCAR format:
```
Pm2InSi4Pd3
1.0
4.2377 0.0000 0.0000
0.0000 4.2377 0.0000
0.0000 0.0000 10.4130
Pm In Si Pd
2 1 4 3
Direct
0.0000 0.5000 0.2364
0.5000 0.0000 0.7636
0.0000 0.0000 0.5000
0.0000 0.0000 0.0000
0.0000 0.5000 0.6539
0.5000 0.0000 0.3461
0.5000 0.5000 0.0000
0.0000 0.5000 0.8838
0.5000 0.0000 0.1162
0.5000 0.5000 0.5000
```

---

12.
# MnCo2Os

MnCo2Os after structural relaxation (PBE, Alexandria).

Total magnetic moment = 5.74 μB/f.u.

The structure in POSCAR format:
```
MnCo2Os
1.0
-1.4072 2.1000 4.1362
1.4072 -2.1000 4.1362
1.4072 2.1000 -4.1362
Mn Co Os
1 2 1
Direct
0.0000 0.0000 0.0000
0.2395 0.7395 0.5000
0.7605 0.2605 0.5000
0.5000 0.5000 0.0000
```

---

no.,DFT total energy (eV/cell)
1,-23.05
2,-63.38
3,-10.83
4,-19.92
5,-28.46
6,-43.56
7,-56.30
8,-28.75
9,-133.35
10,-20.96
11,-57.10
12,-33.82